The following is a PBE calculation of a geometry-optimized Ce4ThTl structure, from Alexandria.

```
6
Lattice="0.0000 4.3741 4.3741 4.3741 0.0000 4.3741 4.3741 4.3741 0.0000" Properties=species:S:1:pos:R:3 pbc="T T T"
Ce 1.0561 1.0561 1.0561
Ce 3.3180 3.3180 1.0561
Ce 3.3180 1.0561 3.3180
Ce 1.0561 3.3180 3.3180
Th 6.5612 6.5612 6.5612
Tl 4.3741 4.3741 4.3741
```

Output
- SG = F-43m
- raw total energy (eV/atom) = -5.43
- total magnetization (μB per formula unit) = 1.067
- energy relative to the elements (eV per atom) = 0.155

---

The following is a PBE calculation of a geometry-optimized CeTh3Tl structure, from Alexandria.

```
10
Lattice="8.5041 -1.7338 0.0000 8.5041 1.7338 0.0000 -3.7433 0.0000 10.3477" Properties=species:S:1:pos:R:3 pbc="T T T"
Ce 0.3327 0.0000 1.4086
Ce 12.9322 0.0000 8.9391
Th -1.4868 0.0000 6.9102
Th 3.2628 0.0000 2.5131
Th 3.9843 0.0000 5.7957
Th 9.2806 0.0000 4.5520
Th 10.0021 0.0000 7.8346
Th 14.7516 0.0000 3.4375
Tl 5.9865 0.0000 0.4537
Tl 7.2784 0.0000 9.8940
```

Output
- SG = C2/m
- raw total energy (eV/atom) = -6.07
- total magnetization (μB per formula unit) = 0.397
- energy relative to the elements (eV per atom) = 0.041

---

The following is a PBE calculation of a geometry-optimized Ce2ThTl2 structure, from Alexandria.

```
10
Lattice="15.4894 0.0000 0.0000 0.0000 3.7100 0.0000 -1.2251 0.0000 5.0777" Properties=species:S:1:pos:R:3 pbc="T T T"
Ce 3.3178 0.0000 0.8230
Ce 3.2019 1.8550 4.2546
Ce 11.0625 1.8550 0.8230
Ce 10.9466 0.0000 4.2546
Th 0.0000 1.8550 0.0000
Th 7.7447 0.0000 0.0000
Tl 0.8272 0.0000 2.8768
Tl 5.6925 1.8550 2.2008
Tl 8.5719 1.8550 2.8768
Tl 13.4372 0.0000 2.2008
```

Output
- excess energy over the best structure of this formula in the dataset (eV per formula unit) = 0.05
- SG = C2/m
- raw total energy (eV/atom) = -4.88
- total magnetization (μB per formula unit) = 0.818
- energy relative to the elements (eV per atom) = -0.080